Sm2ErTm3Se6: optimized geometry, PBE.

Output
Uncorrected formation energy, eV/atom: -1.72
Total moment, μB/f.u.: 0.00

a b c (Å): 4.0439 8.2129 9.1326
angles (deg): 103.91 102.79 90.00
Fractional positions:
Se: 0.9962 0.2492 0.9925
Se: 0.3378 0.4081 0.6756
Se: 0.0038 0.7508 0.0075
Tm: 0.8300 0.1662 0.6600
Tm: 0.1700 0.8338 0.3400
Se: 0.3346 0.9269 0.6691
Sm: 0.1689 0.3370 0.3377
Tm: 0.5000 0.5000 0.0000
Sm: 0.8311 0.6630 0.6623
Er: 0.5000 0.0000 0.0000
Se: 0.6654 0.0731 0.3309
Se: 0.6622 0.5919 0.3244